Computed, not measured: NaAsBr4 after structural relaxation at the PBE-GGA level of DFT.

Unit cell a=13.373 b=4.319 c=7.350 alpha=90.00 beta=95.65 gamma=90.00
Fractional coordinates of all 12 atoms:
Na: 0.000 0.000 0.000
Na: 0.500 0.500 0.000
As: 0.000 0.447 0.500
As: 0.500 0.947 0.500
Br: 0.109 0.497 0.823
Br: 0.120 0.088 0.386
Br: 0.380 0.588 0.614
Br: 0.391 0.997 0.177
Br: 0.609 0.997 0.823
Br: 0.620 0.588 0.386
Br: 0.880 0.088 0.614
Br: 0.891 0.497 0.177

Summary:
- Total energy: -0.213 Ry per atom
- Formation energy without anion corrections: -0.786 eV per atom
- Crystal system: monoclinic